(1)
The following is a DFT calculation (GGA-PBE) of an optimized crystal structure of HfHOsRh2.

magnetization	0.000	μB per formula unit
E above lowest polymorph	0.055	eV per atom

Cell and atoms, written as CIF:
```
data_HfHOsRh2
_chemical_formula_sum 'Hf1 H1 Os1 Rh2'
_space_group_name_H-M_alt 'P 4/m m m'
_space_group_IT_number 123
_space_group_name_Hall '-P 4 2'
_cell_length_a 3.919
_cell_length_b 3.919
_cell_length_c 4.162
_cell_angle_alpha 90.00
_cell_angle_beta 90.00
_cell_angle_gamma 90.00
loop_
_atom_site_label
_atom_site_fract_x
_atom_site_fract_y
_atom_site_fract_z
Hf1 0.000 0.000 0.000
H1 0.000 0.000 0.500
Os1 0.500 0.500 0.000
Rh1 0.000 0.500 0.500
```

---

(2)
The following is a DFT calculation (GGA-PBE) of an optimized crystal structure of Sn2PRh2.

magnetization	0.000	μB per formula unit
calculated formation energy	-0.127	eV/atom

Cell and atoms, written as CIF:
```
data_Sn2PRh2
_chemical_formula_sum 'Sn4 P2 Rh4'
_space_group_name_H-M_alt 'P 4/m b m'
_space_group_IT_number 127
_space_group_name_Hall '-P 4 2ab'
_cell_length_a 7.542
_cell_length_b 7.542
_cell_length_c 3.157
_cell_angle_alpha 90.00
_cell_angle_beta 90.00
_cell_angle_gamma 90.00
loop_
_atom_site_label
_atom_site_fract_x
_atom_site_fract_y
_atom_site_fract_z
Sn1 0.154 0.346 0.000
P1 0.000 0.000 0.500
Rh1 0.145 0.645 0.500
```

---

(3)
The following is a DFT calculation (GGA-PBE) of an optimized crystal structure of Zr2BrCl.

magnetization	0.000	μB per formula unit
E above lowest polymorph	0.582	eV per atom

Cell and atoms, written as CIF:
```
data_Zr2BrCl
_chemical_formula_sum 'Zr2 Br1 Cl1'
_space_group_name_H-M_alt 'P 1 m 1'
_space_group_IT_number 6
_space_group_name_Hall 'P -2y'
_cell_length_a 3.328
_cell_length_b 5.063
_cell_length_c 5.184
_cell_angle_alpha 90.00
_cell_angle_beta 100.68
_cell_angle_gamma 90.00
loop_
_atom_site_label
_atom_site_fract_x
_atom_site_fract_y
_atom_site_fract_z
Zr1 0.000 0.000 0.000
Zr2 0.476 0.500 0.744
Br1 0.837 0.500 0.297
Cl1 0.387 0.000 0.589
```

---

(4)
The following is a DFT calculation (GGA-PBE) of an optimized crystal structure of Ba6H12Ir.

magnetization	1.204	μB per formula unit
electronic total energy	-3.56	eV per atom

Cell and atoms, written as CIF:
```
data_Ba6H12Ir
_chemical_formula_sum 'Ba18 H36 Ir3'
_space_group_name_H-M_alt 'R -3'
_space_group_IT_number 148
_space_group_name_Hall '-R 3'
_cell_length_a 10.8369
_cell_length_b 10.8369
_cell_length_c 10.6053
_cell_angle_alpha 90.00
_cell_angle_beta 90.00
_cell_angle_gamma 120.00
loop_
_atom_site_label
_atom_site_fract_x
_atom_site_fract_y
_atom_site_fract_z
Ba1 0.0661 0.8117 0.1603
H1 0.0263 0.8847 0.4099
H2 0.0624 0.8146 0.9187
Ir1 0.0000 0.0000 0.5000
```

---

(5)
The following is a DFT calculation (GGA-PBE) of an optimized crystal structure of Ta2SnSb.

magnetization	0.000	μB per formula unit
E above lowest polymorph	1.107	eV per atom

Cell and atoms, written as CIF:
```
data_Ta2SnSb
_chemical_formula_sum 'Ta8 Sn4 Sb4'
_space_group_name_H-M_alt 'I -4 2 d'
_space_group_IT_number 122
_space_group_name_Hall 'I -4 2bw'
_cell_length_a 6.293
_cell_length_b 6.293
_cell_length_c 12.603
_cell_angle_alpha 90.00
_cell_angle_beta 90.00
_cell_angle_gamma 90.00
loop_
_atom_site_label
_atom_site_fract_x
_atom_site_fract_y
_atom_site_fract_z
Ta1 0.250 0.250 0.125
Sn1 0.000 0.000 0.000
Sb1 0.000 0.000 0.500
```

---

(6)
The following is a DFT calculation (GGA-PBE) of an optimized crystal structure of SmZnCdRh.

magnetization	0.000	μB per formula unit
calculated formation energy	-0.334	eV/atom

Cell and atoms, written as CIF:
```
data_SmZnCdRh
_chemical_formula_sum 'Sm4 Zn4 Cd4 Rh4'
_space_group_name_H-M_alt 'F -4 3 m'
_space_group_IT_number 216
_space_group_name_Hall 'F -4 2 3'
_cell_length_a 6.839
_cell_length_b 6.839
_cell_length_c 6.839
_cell_angle_alpha 90.00
_cell_angle_beta 90.00
_cell_angle_gamma 90.00
loop_
_atom_site_label
_atom_site_fract_x
_atom_site_fract_y
_atom_site_fract_z
Sm1 0.000 0.000 0.000
Zn1 0.250 0.250 0.750
Cd1 0.000 0.000 0.500
Rh1 0.250 0.250 0.250
```

---

(7)
The following is a DFT calculation (GGA-PBE) of an optimized crystal structure of Li2H4Ir.

magnetization	0.000	μB per formula unit
E above lowest polymorph	0.372	eV per atom

Cell and atoms, written as CIF:
```
data_Li2H4Ir
_chemical_formula_sum 'Li8 H16 Ir4'
_space_group_name_H-M_alt 'I 4/m c m'
_space_group_IT_number 140
_space_group_name_Hall '-I 4 2c'
_cell_length_a 7.046
_cell_length_b 7.046
_cell_length_c 5.326
_cell_angle_alpha 90.00
_cell_angle_beta 90.00
_cell_angle_gamma 90.00
loop_
_atom_site_label
_atom_site_fract_x
_atom_site_fract_y
_atom_site_fract_z
Li1 0.158 0.342 0.000
H1 0.067 0.175 0.500
Ir1 0.000 0.000 0.250
```

---

(8)
The following is a DFT calculation (GGA-PBE) of an optimized crystal structure of PrSmGeIr.

magnetization	0.000	μB per formula unit
calculated formation energy	-0.760	eV/atom

Cell and atoms, written as CIF:
```
data_PrSmGeIr
_chemical_formula_sum 'Pr2 Sm2 Ge2 Ir2'
_space_group_name_H-M_alt 'A m m 2'
_space_group_IT_number 38
_space_group_name_Hall 'A 2 -2'
_cell_length_a 4.198
_cell_length_b 4.264
_cell_length_c 10.904
_cell_angle_alpha 90.00
_cell_angle_beta 90.00
_cell_angle_gamma 90.00
loop_
_atom_site_label
_atom_site_fract_x
_atom_site_fract_y
_atom_site_fract_z
Pr1 0.000 0.000 0.000
Sm1 0.500 0.000 0.281
Ge1 0.500 0.000 0.576
Ir1 0.000 0.000 0.722
```